Record 1
First-principles (PBE) data for Ti3FePt after structural relaxation, as listed in Alexandria.

## Properties
Magnetization ... 0.00 μB per atom
Theoretical density ... 7.7 Mg/m³
Energy above the most stable polymorph in this dataset ... 0 meV per atom

Geometry as extended XYZ:
```
5
Lattice="4.403 0.000 0.000 0.000 4.403 0.000 0.000 0.000 4.403" Properties=species:S:1:pos:R:3 pbc="T T T"
Fe 0.000 0.000 0.000
Pt 2.201 2.201 2.201
Ti 0.000 2.201 0.000
Ti 0.000 0.000 2.201
Ti 2.201 0.000 0.000
```

Record 2
First-principles (PBE) data for Mn6H3N after structural relaxation, as listed in Alexandria.

## Properties
Magnetization ... 0.03 μB per atom
Theoretical density ... 7.0 Mg/m³
Total DFT energy (no corrections) ... -7.388 eV per atom

Geometry as extended XYZ:
```
20
Lattice="4.622 0.000 -0.350 0.000 5.118 0.000 0.403 0.000 6.952" Properties=species:S:1:pos:R:3 pbc="T T T"
Mn 1.928 4.168 6.336
Mn 1.786 4.208 3.899
Mn 1.654 2.774 1.583
Mn 3.371 2.344 5.019
Mn 3.239 0.911 2.703
Mn 3.097 0.951 0.265
Mn 4.037 3.510 2.685
Mn 3.895 3.470 0.248
Mn 4.166 4.903 4.884
Mn 0.859 0.215 1.718
Mn 1.130 1.648 6.354
Mn 0.988 1.608 3.916
H 2.748 0.664 5.506
H 2.311 2.559 -0.175
H 2.277 4.454 1.095
H 0.236 1.895 2.206
H 0.202 0.000 3.476
H 4.789 3.223 4.396
N 2.512 2.559 3.301
N 0.000 0.000 0.000
```

Record 3
First-principles (PBE) data for Na2MgMo after structural relaxation, as listed in Alexandria.

## Properties
Magnetization ... 1.04 μB per atom
Theoretical density ... 2.5 Mg/m³
Total DFT energy (no corrections) ... -2.633 eV per atom

Geometry as extended XYZ:
```
8
Lattice="-4.424 1.364 -7.261 6.823 -2.490 -4.625 0.219 -3.377 -5.874" Properties=species:S:1:pos:R:3 pbc="T T T"
Na -1.845 -0.307 -6.564
Na 3.754 -2.226 -5.287
Na 1.083 -2.962 -8.875
Na 2.245 -3.511 -14.792
Mo 0.000 0.000 0.000
Mo -1.502 -1.288 -9.539
Mg 1.200 -0.563 -5.943
Mg 4.121 -3.215 -8.221
```

What did the first record say?
First-principles (PBE) data for Ti3FePt after structural relaxation, as listed in Alexandria.

## Properties
Magnetization ... 0.00 μB per atom
Theoretical density ... 7.7 Mg/m³
Energy above the most stable polymorph in this dataset ... 0 meV per atom

Geometry as extended XYZ:
```
5
Lattice="4.403 0.000 0.000 0.000 4.403 0.000 0.000 0.000 4.403" Properties=species:S:1:pos:R:3 pbc="T T T"
Fe 0.000 0.000 0.000
Pt 2.201 2.201 2.201
Ti 0.000 2.201 0.000
Ti 0.000 0.000 2.201
Ti 2.201 0.000 0.000
```